Entry 1:
Computed, not measured: an optimized crystal structure of Ba8As5F at the GGA-PBE level of DFT.

Its energy relative to the elements, uncorrected is -1.345 eV per atom.

The structure belongs to space group I-4 (No. 82); the cell edges are 9.937, 9.937 and 10.148 Å and the angles 90.00°, 90.00° and 90.00°. The asymmetric unit holds Ba at (0.063, 0.308, 0.057), Ba at (0.069, 0.191, 0.676), As at (0.000, 0.500, 0.750), As at (0.127, 0.252, 0.370) and F at (0.000, 0.000, 0.000).

Entry 2:
Computed, not measured: an optimized crystal structure of TaReAg2Sb at the GGA-PBE level of DFT.

Its energy relative to the elements, uncorrected is 1.913 eV per atom.

The structure belongs to space group P4/mmm (No. 123); the cell edges are 4.914, 4.914 and 5.283 Å and the angles 90.00°, 90.00° and 90.00°. The asymmetric unit holds Ta at (0.000, 0.000, 0.000), Re at (0.500, 0.500, 0.000), Ag at (0.000, 0.500, 0.500) and Sb at (0.000, 0.000, 0.500).

Entry 3:
Computed, not measured: an optimized crystal structure of HfSb2H at the GGA-PBE level of DFT.

For the energy above the most stable polymorph in this dataset, the calculation gives 0 meV per atom.

The structure belongs to space group Cm (No. 8); the cell edges are 5.834, 3.372 and 8.856 Å and the angles 90.00°, 102.74° and 90.00°. The asymmetric unit holds Hf at (0.000, 0.000, 0.000), Sb at (0.073, 0.500, 0.720), Sb at (0.260, 0.500, 0.279) and H at (0.333, 0.000, 0.998).

Entry 4:
Computed, not measured: an optimized crystal structure of PuCrH6 at the GGA-PBE level of DFT.

The uncorrected energy comes out at -5.517 eV/atom.

The structure belongs to space group R-3 (No. 148, hexagonal axes); the cell edges are 5.3851, 5.3851 and 7.0918 Å and the angles 90.00°, 90.00° and 120.00°. The asymmetric unit holds Pu at (0.0000, 0.0000, 0.0000), Cr at (0.0000, 0.0000, 0.5000) and H at (0.0320, 0.3012, 0.2272).

Entry 5:
Computed, not measured: an optimized crystal structure of TlNi2Ag at the GGA-PBE level of DFT.

For the energy above the most stable polymorph in this dataset, the calculation gives 68 meV per atom. The calculation puts the formation enthalpy at 0 K at 0.310 eV/atom.

The structure belongs to space group Pm (No. 6); the cell edges are 2.995, 4.249 and 5.120 Å and the angles 90.00°, 102.63° and 90.00°. The asymmetric unit holds Tl at (0.000, 0.000, 0.000), Ni at (0.325, 0.000, 0.536), Ni at (0.422, 0.500, 0.820) and Ag at (0.755, 0.500, 0.373).

Entry 6:
Computed, not measured: an optimized crystal structure of KBeNb2F at the GGA-PBE level of DFT.

Its energy relative to the elements, uncorrected is 0.763 eV per atom.

The structure belongs to space group P4/mmm (No. 123); the cell edges are 4.289, 4.289 and 5.486 Å and the angles 90.00°, 90.00° and 90.00°. The asymmetric unit holds K at (0.000, 0.000, 0.000), Be at (0.500, 0.500, 0.000), Nb at (0.000, 0.500, 0.500) and F at (0.500, 0.500, 0.500).